Density functional theory data (GGA+U) for crystalline Mn3CrO8 at its relaxed geometry.

abc: 8.276 8.276 8.276
angles: 90.00 90.00 90.00
Space group P4_332 (No. 212)
Symmetry-distinct sites (fractional):
Mn 0.125 0.125 0.625 [12 per cell]
Cr 0.125 0.875 0.375 [4 per cell]
O 0.108 0.110 0.391 [24 per cell]
O 0.110 0.610 0.890 [8 per cell]

Summary:
Total energy in eV per atom: -7.124
Calculated density in g cm⁻³: 4.0
Offset from the most stable computed form in eV/atom: 0.031